Material: Sm2O3
Method: DFT, PBEsol
State: optimized geometry

abc: 9.4080 9.4080 9.4080
angles: 109.47 109.47 109.47
Atoms (fractional coordinates):
O  0.2405  0.5117  0.4710
O  0.9710  0.2405  0.0117
Sm  0.9685  0.2185  0.7500
O  0.0290  0.7595  0.9883
O  0.2595  0.7305  0.2711
O  0.2305  0.4710  0.9594
O  0.0117  0.2711  0.5406
O  0.7711  0.2595  0.2305
Sm  0.0000  0.0000  0.0000
Sm  0.0000  0.5000  0.5000
Sm  0.7500  0.5315  0.7815
O  0.5406  0.7695  0.0290
O  0.9883  0.7289  0.4594
O  0.0406  0.0117  0.7711
Sm  0.2815  0.7500  0.0315
Sm  0.7185  0.2500  0.9685
O  0.7289  0.9594  0.4883
O  0.9594  0.9883  0.2289
Sm  0.5000  0.0000  0.5000
Sm  0.2500  0.9685  0.7185
O  0.4594  0.2305  0.9710
O  0.4883  0.0290  0.2595
O  0.2711  0.0406  0.5117
O  0.4710  0.4594  0.7305
O  0.2695  0.2289  0.2405
O  0.7695  0.5290  0.0406
Sm  0.2500  0.4685  0.2185
O  0.7405  0.2695  0.7289
Sm  0.7500  0.0315  0.2815
O  0.7305  0.7711  0.7595
O  0.7595  0.4883  0.5290
O  0.5290  0.5406  0.2695
Sm  0.2185  0.2500  0.4685
Sm  0.5000  0.5000  0.0000
Sm  0.4685  0.7185  0.7500
Sm  0.7815  0.7500  0.5315
Sm  0.0315  0.7815  0.2500
O  0.2289  0.7405  0.7695
O  0.5117  0.9710  0.7405
Sm  0.5315  0.2815  0.2500

=====

Material: Sm2O3
Method: DFT, PBEsol
State: optimized geometry

abc: 3.7557 3.7557 5.8826
angles: 90.00 90.00 120.00
Atoms (fractional coordinates):
Sm  0.3333  0.6667  0.2478
O  0.0000  0.0000  0.0000
O  0.6667  0.3333  0.3546
O  0.3333  0.6667  0.6454
Sm  0.6667  0.3333  0.7522

=====

E_form (uncorrected): -17.348 -17.284 (eV/f.u.)
Calculated volume: 16.03 14.37 (Å³ per atom)